(1)
A plane-wave DFT calculation with GGA-PBEsol was carried out for a relaxed KTa2Tl crystal.

Cell: 6.6819 6.6819 6.6819 Å, 155.38 132.98 53.79°
Atoms (fractional coordinates):
K 0.0000 0.0000 0.0000
Ta 0.2812 0.7812 0.5000
Ta 0.7188 0.2188 0.5000
Tl 0.5000 0.5000 0.0000

Summary:
The density of states at the Fermi level comes out at 0.869 states/eV per atom. The density comes out at 11.10 g cm⁻³.



(2)
A plane-wave DFT calculation with GGA-PBEsol was carried out for a relaxed KTa2Tl crystal.

Cell: 2.9690 5.2548 5.5887 Å, 90.00 90.00 90.00°
Atoms (fractional coordinates):
K 0.0000 0.0000 0.0000
Ta 0.0000 0.5000 0.5000
Ta 0.5000 0.0000 0.5000
Tl 0.5000 0.5000 0.0000

Summary:
The density of states at the Fermi level comes out at 0.953 states/eV per atom. The density comes out at 11.53 g cm⁻³.



(1) ends up most stable, edging out the next structure by 20.5 kJ/mol of atoms.



(1)
A plane-wave DFT calculation with GGA-PBEsol was carried out for a relaxed KYTa2 crystal.

Cell: 6.1392 6.1392 6.1392 Å, 141.65 141.65 55.36°
Atoms (fractional coordinates):
K 0.0000 0.0000 0.0000
Y 0.5000 0.5000 0.0000
Ta 0.2500 0.7500 0.5000
Ta 0.7500 0.2500 0.5000

Summary:
The density of states at the Fermi level comes out at 1.350 states/eV per atom. The density comes out at 9.20 g cm⁻³.



(2)
A plane-wave DFT calculation with GGA-PBEsol was carried out for a relaxed KYTa2 crystal.

Cell: 6.5931 6.5931 6.5931 Å, 153.35 126.34 60.90°
Atoms (fractional coordinates):
K 0.0000 0.0000 0.0000
Y 0.7079 0.2079 0.5000
Ta 0.2719 0.7719 0.5000
Ta 0.4557 0.4557 0.0000

Summary:
The density of states at the Fermi level comes out at 1.113 states/eV per atom. The density comes out at 7.91 g cm⁻³.



(2) ends up most stable, edging out the next structure by 15.9 kJ/mol of atoms.



(1)
A plane-wave DFT calculation with GGA-PBEsol was carried out for a relaxed K2ZrTa crystal.

Cell: 3.1346 3.4386 12.2064 Å, 90.00 90.00 90.00°
Atoms (fractional coordinates):
K 0.0000 0.0000 0.0000
K 0.5000 0.5000 0.3373
Zr 0.5000 0.5000 0.7242
Ta 0.0000 0.0000 0.5870

Summary:
The density of states at the Fermi level comes out at 0.841 states/eV per atom. The density comes out at 4.42 g cm⁻³.



(2)
A plane-wave DFT calculation with GGA-PBEsol was carried out for a relaxed K2ZrTa crystal.

Cell: 11.1491 11.1491 11.1491 Å, 163.43 157.34 28.20°
Atoms (fractional coordinates):
K 0.1523 0.1523 0.0000
K 0.8477 0.8477 0.0000
Zr 0.5000 0.0000 0.5000
Ta 0.0000 0.5000 0.5000

Summary:
The density of states at the Fermi level comes out at 0.976 states/eV per atom. The density comes out at 3.82 g cm⁻³.



(3)
A plane-wave DFT calculation with GGA-PBEsol was carried out for a relaxed K2ZrTa crystal.

Cell: 6.6326 6.6326 2.7444 Å, 90.00 90.00 90.00°
Atoms (fractional coordinates):
K 0.0000 0.5000 0.0000
K 0.5000 0.0000 0.0000
Zr 0.0000 0.0000 0.5000
Ta 0.5000 0.5000 0.5000

Summary:
The density of states at the Fermi level comes out at 1.297 states/eV per atom. The density comes out at 4.82 g cm⁻³.



(4)
A plane-wave DFT calculation with GGA-PBEsol was carried out for a relaxed K2ZrTa crystal.

Cell: 2.8848 5.7512 6.6205 Å, 90.00 90.00 90.00°
Atoms (fractional coordinates):
K 0.0000 0.2462 0.0000
K 0.0000 0.7538 0.0000
Zr 0.5000 0.5000 0.5000
Ta 0.5000 0.0000 0.5000

Summary:
The density of states at the Fermi level comes out at 1.408 states/eV per atom. The density comes out at 5.30 g cm⁻³.



(1) ends up most stable, edging out the next structure by 5.3 kJ/mol of atoms.